A relaxed structure of ZnInNiF6, computed with PBE with a Hubbard U.

abc: 5.4710 5.4710 9.0862
angles: 90.00 90.00 120.00
Space group P-31c (No. 163)
Asymmetric unit:
Zn  0.3333  0.6667  0.2500 x2
In  0.3333  0.6667  0.7500 x2
Ni  0.0000  0.0000  0.0000 x2
F  0.0285  0.3316  0.1235 x12

## Properties
As for the total DFT energy (no corrections): -36.8 eV/f.u. The value obtained for the volume is 13.085 Å³ per atom. The value obtained for the size of the total moment is 1.6 μB/f.u.